(1)
# Cr2FeSi

A geometry-optimized Cr2FeSi structure (PBE, the Alexandria database).

a = 2.6021 Å, b = 2.6021 Å, c = 6.6536 Å
α = 90.00°, β = 90.00°, γ = 90.00°
Sites, in units of the cell vectors:
Cr (0.0000, 0.0000, 0.2443)
Cr (0.0000, 0.0000, 0.7557)
Fe (0.5000, 0.5000, 0.0000)
Si (0.5000, 0.5000, 0.5000)

Summary:
DOS(E_F) in states/eV/f.u.: 2.7
SG: P4/mmm
Density in g cm⁻³: 6.926
Formation energy without anion corrections in eV per atom: -0.053

***

(2)
# CrFe2Si

A geometry-optimized CrFe2Si structure (PBE, the Alexandria database).

a = 4.6227 Å, b = 4.6227 Å, c = 2.5218 Å
α = 100.64°, β = 100.64°, γ = 116.29°
Sites, in units of the cell vectors:
Cr (0.0000, 0.0000, 0.0000)
Fe (0.0000, 0.5000, 0.5000)
Fe (0.5000, 0.0000, 0.5000)
Si (0.5000, 0.5000, 0.0000)

Summary:
DOS(E_F) in states/eV/f.u.: 4.4
SG: C2/m
Density in g cm⁻³: 7.036
Formation energy without anion corrections in eV per atom: -0.075

***

(3)
# CrFeSi2

A geometry-optimized CrFeSi2 structure (PBE, the Alexandria database).

a = 2.5818 Å, b = 2.5818 Å, c = 7.2548 Å
α = 90.00°, β = 90.00°, γ = 90.00°
Sites, in units of the cell vectors:
Cr (0.0000, 0.0000, 0.0000)
Fe (0.5000, 0.5000, 0.2177)
Si (0.0000, 0.0000, 0.4322)
Si (0.5000, 0.5000, 0.7550)

Summary:
DOS(E_F) in states/eV/f.u.: 3.2
SG: P4mm
Density in g cm⁻³: 5.632
Formation energy without anion corrections in eV per atom: 0.003

***

(4)
# CrFeSi2

A geometry-optimized CrFeSi2 structure (PBE, the Alexandria database).

a = 4.5423 Å, b = 4.5423 Å, c = 4.5423 Å
α = 134.87°, β = 134.87°, γ = 65.73°
Sites, in units of the cell vectors:
Cr (0.0000, 0.0000, 0.0000)
Fe (0.2500, 0.7500, 0.5000)
Si (0.5000, 0.5000, 0.0000)
Si (0.7500, 0.2500, 0.5000)

Summary:
DOS(E_F) in states/eV/f.u.: 3.2
SG: I-4m2
Density in g cm⁻³: 5.875
Formation energy without anion corrections in eV per atom: -0.186

***

(5)
# Cr2FeSi

A geometry-optimized Cr2FeSi structure (PBE, the Alexandria database).

a = 8.1952 Å, b = 8.1952 Å, c = 8.1952 Å
α = 18.03°, β = 18.03°, γ = 18.03°
Sites, in units of the cell vectors:
Cr (0.2486, 0.2486, 0.2486)
Cr (0.7514, 0.7514, 0.7514)
Fe (0.5000, 0.5000, 0.5000)
Si (0.0000, 0.0000, 0.0000)

Summary:
DOS(E_F) in states/eV/f.u.: 2.7
SG: R-3m
Density in g cm⁻³: 6.779
Formation energy without anion corrections in eV per atom: 0.075

***

(6)
# Cr2FeSi

A geometry-optimized Cr2FeSi structure (PBE, the Alexandria database).

a = 4.4222 Å, b = 4.4222 Å, c = 2.5840 Å
α = 90.00°, β = 90.00°, γ = 115.81°
Sites, in units of the cell vectors:
Cr (0.0000, 0.5000, 0.0000)
Cr (0.5000, 0.0000, 0.0000)
Fe (0.0000, 0.0000, 0.5000)
Si (0.5000, 0.5000, 0.5000)

Summary:
DOS(E_F) in states/eV/f.u.: 4.3
SG: Cmmm
Density in g cm⁻³: 6.860
Formation energy without anion corrections in eV per atom: -0.066

***

(7)
# CrFeSi2

A geometry-optimized CrFeSi2 structure (PBE, the Alexandria database).

a = 8.6425 Å, b = 8.6425 Å, c = 8.6425 Å
α = 156.13°, β = 156.13°, γ = 34.02°
Sites, in units of the cell vectors:
Cr (0.0000, 0.0000, 0.0000)
Cr (0.7500, 0.2500, 0.5000)
Fe (0.2500, 0.7500, 0.5000)
Fe (0.5000, 0.5000, 0.0000)
Si (0.1258, 0.6250, 0.0008)
Si (0.3750, 0.3758, 0.5008)
Si (0.6242, 0.1250, 0.9992)
Si (0.8750, 0.8742, 0.4992)

Summary:
DOS(E_F) in states/eV/f.u.: 3.5
SG: I-42d
Density in g cm⁻³: 5.156
Formation energy without anion corrections in eV per atom: 0.226

***

(8)
# CrFeSi3

A geometry-optimized CrFeSi3 structure (PBE, the Alexandria database).

a = 4.4083 Å, b = 4.4083 Å, c = 4.4083 Å
α = 90.00°, β = 90.00°, γ = 90.00°
Sites, in units of the cell vectors:
Cr (0.0000, 0.0000, 0.0000)
Fe (0.5000, 0.5000, 0.5000)
Si (0.0000, 0.0000, 0.5000)
Si (0.0000, 0.5000, 0.0000)
Si (0.5000, 0.0000, 0.0000)

Summary:
DOS(E_F) in states/eV/f.u.: 1.4
SG: Pm-3m
Density in g cm⁻³: 3.724
Formation energy without anion corrections in eV per atom: 0.722